# Mn2SbTe, optimized geometry, DFT GGA-PBE
data_Mn2SbTe
_symmetry_space_group_name_H-M 'P 1'
_symmetry_Int_Tables_number 1
_symmetry_space_group_name_Hall 'P 1'
_cell_length_a 3.617
_cell_length_b 4.200
_cell_length_c 5.357
_cell_angle_alpha 90.00
_cell_angle_beta 109.72
_cell_angle_gamma 90.00
loop_
_atom_site_label
_atom_site_fract_x
_atom_site_fract_y
_atom_site_fract_z
_atom_site_occupancy
Mn1 0.000 0.000 0.000 1
Mn2 0.154 0.500 0.307 1
Sb1 0.715 0.000 0.431 1
Te1 0.439 0.500 0.873 1
# E = -6.314 eV/atom
# space group = No. 6